{
  "formula": "HfAg3Ir",
  "functional": "GGA-PBE",
  "state": "optimized geometry",
  "lattice_angstrom": [[4.942, 0.000, 0.000], [0.000, 4.942, 0.000], [0.000, 0.000, 4.942]],
  "species": ["Ir", "Hf", "Ag", "Ag", "Ag"],
  "fractional_positions": [[0.000, 0.000, 0.000], [0.500, 0.500, 0.500], [0.000, 0.500, 0.000], [0.000, 0.000, 0.500], [0.500, 0.000, 0.000]],
  "formation_energy_ev_per_atom": 1.341,
  "e_above_lowest_polymorph_ev_per_atom": 0.0000
}